No. 1
Material: Nb2In2Si
Method: DFT, PBE
State: optimized geometry

- space group = P4/mbm, No. 127
- energy relative to the elements, uncorrected (kJ/mol of formula units) = -33
- energy (eV per atom) = -6.2765

a = 6.620 Å, b = 6.620 Å, c = 4.619 Å
α = 90.00°, β = 90.00°, γ = 90.00°
Fractional coordinates of all 10 atoms:
In 0.659 0.841 0.500
In 0.341 0.159 0.500
In 0.841 0.341 0.500
In 0.159 0.659 0.500
Nb 0.154 0.346 0.000
Nb 0.346 0.846 0.000
Nb 0.654 0.154 0.000
Nb 0.846 0.654 0.000
Si 0.500 0.500 0.000
Si 0.000 0.000 0.000


No. 2
Material: NbIn3Si
Method: DFT, PBE
State: optimized geometry

- space group = Pm-3m, No. 221
- energy relative to the elements, uncorrected (kJ/mol of formula units) = 485
- energy (eV per atom) = -3.7363

a = 5.380 Å, b = 5.380 Å, c = 5.380 Å
α = 90.00°, β = 90.00°, γ = 90.00°
Fractional coordinates of all 5 atoms:
In 0.000 0.500 0.000
In 0.500 0.000 0.000
In 0.000 0.000 0.500
Nb 0.000 0.000 0.000
Si 0.500 0.500 0.500


No. 3
Material: Nb3InSi
Method: DFT, PBE
State: optimized geometry

- space group = Pm-3m, No. 221
- energy relative to the elements, uncorrected (kJ/mol of formula units) = 949
- energy (eV per atom) = -5.7077

a = 4.989 Å, b = 4.989 Å, c = 4.989 Å
α = 90.00°, β = 90.00°, γ = 90.00°
Fractional coordinates of all 5 atoms:
Nb 0.500 0.000 0.000
Nb 0.000 0.500 0.000
Nb 0.000 0.000 0.500
Si 0.500 0.500 0.500
In 0.000 0.000 0.000


No. 4
Material: NbInSi2Tc
Method: DFT, PBE
State: optimized geometry

- space group = P4/mmm, No. 123
- energy relative to the elements, uncorrected (kJ/mol of formula units) = 973
- energy (eV per atom) = -4.7868

a = 4.740 Å, b = 5.062 Å, c = 4.740 Å
α = 90.00°, β = 90.00°, γ = 90.00°
Fractional coordinates of all 5 atoms:
Si 0.500 0.000 0.000
Si 0.000 0.000 0.500
In 0.000 0.000 0.000
Tc 0.000 0.500 0.000
Nb 0.500 0.500 0.500


No. 5
Material: NbInSn3
Method: DFT, PBE
State: optimized geometry

- space group = Pm-3m, No. 221
- energy (eV per atom) = -4.7057

a = 5.415 Å, b = 5.415 Å, c = 5.415 Å
α = 90.00°, β = 90.00°, γ = 90.00°
Fractional coordinates of all 5 atoms:
Sn 0.000 0.500 0.000
Sn 0.500 0.000 0.000
Sn 0.000 0.000 0.500
In 0.500 0.500 0.500
Nb 0.000 0.000 0.000


No. 6
Material: NbInSn3
Method: DFT, PBE
State: optimized geometry

- space group = Pm-3m, No. 221
- energy (eV per atom) = -3.5738

a = 5.443 Å, b = 5.443 Å, c = 5.443 Å
α = 90.00°, β = 90.00°, γ = 90.00°
Fractional coordinates of all 5 atoms:
Sn 0.500 0.000 0.000
Sn 0.000 0.000 0.500
Sn 0.000 0.500 0.000
In 0.000 0.000 0.000
Nb 0.500 0.500 0.500


No. 7
Material: Nb3InSn
Method: DFT, PBE
State: optimized geometry

- space group = Pm-3m, No. 221
- energy (eV per atom) = -5.8183

a = 5.026 Å, b = 5.026 Å, c = 5.026 Å
α = 90.00°, β = 90.00°, γ = 90.00°
Fractional coordinates of all 5 atoms:
Sn 0.500 0.500 0.500
Nb 0.500 0.000 0.000
Nb 0.000 0.000 0.500
Nb 0.000 0.500 0.000
In 0.000 0.000 0.000


No. 8
Material: Nb12In3Sn
Method: DFT, PBE
State: optimized geometry

- space group = Pmmm, No. 47
- energy (eV per atom) = -8.3568

a = 5.345 Å, b = 5.340 Å, c = 10.619 Å
α = 90.00°, β = 90.00°, γ = 90.00°
Fractional coordinates of all 16 atoms:
Nb 0.000 0.251 0.749
Nb 0.000 0.749 0.251
Nb 0.500 0.000 0.375
Nb 0.248 0.500 0.000
Nb 0.752 0.500 0.500
Nb 0.248 0.500 0.500
Nb 0.500 0.000 0.625
Nb 0.752 0.500 0.000
Nb 0.000 0.251 0.251
Nb 0.500 0.000 0.876
Nb 0.500 0.000 0.124
Nb 0.000 0.749 0.749
Sn 0.000 0.000 0.500
In 0.500 0.500 0.250
In 0.000 0.000 0.000
In 0.500 0.500 0.750


No. 9
Material: Nb14InSn
Method: DFT, PBE
State: optimized geometry

- space group = Cmmm, No. 65
- energy (eV per atom) = -9.2732

a = 5.804 Å, b = 5.804 Å, c = 9.247 Å
α = 90.00°, β = 90.00°, γ = 107.01°
Fractional coordinates of all 16 atoms:
Nb 0.874 0.126 0.256
Nb 0.625 0.375 0.000
Nb 0.875 0.625 0.761
Nb 0.375 0.125 0.239
Nb 0.625 0.875 0.500
Nb 0.125 0.375 0.500
Nb 0.625 0.875 0.000
Nb 0.375 0.125 0.761
Nb 0.376 0.624 0.256
Nb 0.125 0.375 0.000
Nb 0.125 0.875 0.000
Nb 0.874 0.126 0.744
Nb 0.376 0.624 0.744
Nb 0.875 0.625 0.239
Sn 0.625 0.375 0.500
In 0.125 0.875 0.500


No. 10
Material: Nb3InSn
Method: DFT, PBE
State: optimized geometry

- space group = P2_1/m, No. 11
- energy (eV per atom) = -7.4703

a = 3.651 Å, b = 7.470 Å, c = 7.219 Å
α = 94.09°, β = 90.00°, γ = 90.00°
Fractional coordinates of all 10 atoms:
Nb 0.750 0.754 0.754
Nb 0.250 0.648 0.032
Nb 0.750 0.352 0.968
Nb 0.250 0.246 0.246
Nb 0.250 0.851 0.471
Nb 0.750 0.149 0.529
Sn 0.750 0.939 0.167
Sn 0.250 0.061 0.833
In 0.750 0.551 0.343
In 0.250 0.449 0.657


No. 11
Material: NbIn2Sn2
Method: DFT, PBE
State: optimized geometry

- space group = I4/mmm, No. 139
- energy (eV per atom) = -4.1238

a = 4.042 Å, b = 4.042 Å, c = 8.530 Å
α = 76.29°, β = 76.29°, γ = 90.00°
Fractional coordinates of all 5 atoms:
In 0.413 0.413 0.174
In 0.587 0.587 0.826
Sn 0.250 0.750 0.500
Sn 0.750 0.250 0.500
Nb 0.000 0.000 0.000


No. 12
Material: Nb4InSn
Method: DFT, PBE
State: optimized geometry

- space group = F-43m, No. 216
- energy (eV per atom) = -5.9727

a = 7.044 Å, b = 7.044 Å, c = 7.044 Å
α = 60.00°, β = 60.00°, γ = 60.00°
Fractional coordinates of all 6 atoms:
Nb 0.591 0.591 0.227
Nb 0.591 0.591 0.591
Nb 0.591 0.227 0.591
Nb 0.227 0.591 0.591
In 0.000 0.000 0.000
Sn 0.750 0.750 0.750


No. 13
Material: NbInSn
Method: DFT, PBE
State: optimized geometry

- space group = P3m1, No. 156
- energy (eV per atom) = -5.3254

a = 2.899 Å, b = 5.062 Å, c = 5.062 Å
α = 120.00°, β = 90.00°, γ = 90.00°
Fractional coordinates of all 3 atoms:
Nb 0.337 0.333 0.667
In 0.839 0.000 0.000
Sn 0.825 0.667 0.333


No. 14
Material: Nb3InSn
Method: DFT, PBE
State: optimized geometry

- space group = Pm-3m, No. 221
- energy (eV per atom) = -5.9620

a = 5.052 Å, b = 5.052 Å, c = 5.052 Å
α = 90.00°, β = 90.00°, γ = 90.00°
Fractional coordinates of all 5 atoms:
Nb 0.500 0.000 0.000
Nb 0.000 0.000 0.500
Nb 0.000 0.500 0.000
Sn 0.000 0.000 0.000
In 0.500 0.500 0.500


No. 15
Material: Nb12InSn3
Method: DFT, PBE
State: optimized geometry

- space group = Pmmm, No. 47
- energy (eV per atom) = -8.6126

a = 5.338 Å, b = 5.347 Å, c = 10.604 Å
α = 90.00°, β = 90.00°, γ = 90.00°
Fractional coordinates of all 16 atoms:
Nb 0.251 0.000 0.500
Nb 0.500 0.753 0.251
Nb 0.000 0.500 0.875
Nb 0.500 0.247 0.251
Nb 0.500 0.753 0.749
Nb 0.000 0.500 0.125
Nb 0.749 0.000 0.500
Nb 0.748 0.000 0.000
Nb 0.000 0.500 0.626
Nb 0.000 0.500 0.374
Nb 0.500 0.247 0.749
Nb 0.252 0.000 0.000
Sn 0.000 0.000 0.250
Sn 0.000 0.000 0.750
Sn 0.500 0.500 0.500
In 0.500 0.500 0.000


No. 16
Material: Nb4InSn
Method: DFT, PBE
State: optimized geometry

- space group = Cmmm, No. 65
- energy (eV per atom) = -6.6738

a = 5.146 Å, b = 5.427 Å, c = 5.427 Å
α = 90.09°, β = 90.00°, γ = 90.00°
Fractional coordinates of all 6 atoms:
Nb 0.500 0.655 0.345
Nb 0.500 0.345 0.655
Nb 0.000 0.845 0.845
Nb 0.000 0.155 0.155
Sn 0.500 0.000 0.000
In 0.000 0.500 0.500


No. 17
Material: NbIn2Sn
Method: DFT, PBE
State: optimized geometry

- space group = R-3m, No. 166
- energy (eV per atom) = -4.4216

a = 3.128 Å, b = 3.128 Å, c = 11.852 Å
α = 82.42°, β = 82.42°, γ = 60.00°
Fractional coordinates of all 4 atoms:
Sn 0.500 0.500 0.500
In 0.082 0.082 0.753
In 0.918 0.918 0.247
Nb 0.000 0.000 0.000


No. 18
Material: Nb3InSn
Method: DFT, PBE
State: optimized geometry

- space group = Cmcm, No. 63
- energy (eV per atom) = -7.2526

a = 3.481 Å, b = 7.257 Å, c = 9.058 Å
α = 90.00°, β = 90.00°, γ = 103.91°
Fractional coordinates of all 10 atoms:
Nb 0.159 0.319 0.750
Nb 0.671 0.343 0.511
Nb 0.329 0.657 0.011
Nb 0.329 0.657 0.489
Nb 0.671 0.343 0.989
Nb 0.841 0.681 0.250
In 0.000 0.000 0.000
In 0.000 0.000 0.500
Sn 0.170 0.342 0.250
Sn 0.830 0.658 0.750


No. 19
Material: NbIn2Sn2
Method: DFT, PBE
State: optimized geometry

- space group = P4/mbm, No. 127
- energy (eV per atom) = -4.2844

a = 7.670 Å, b = 7.670 Å, c = 4.124 Å
α = 90.00°, β = 90.00°, γ = 90.00°
Fractional coordinates of all 10 atoms:
In 0.139 0.361 0.000
In 0.861 0.639 0.000
In 0.639 0.139 0.000
In 0.361 0.861 0.000
Sn 0.669 0.831 0.500
Sn 0.831 0.331 0.500
Sn 0.331 0.169 0.500
Sn 0.169 0.669 0.500
Nb 0.000 0.000 0.000
Nb 0.500 0.500 0.000


No. 20
Material: NbInSn
Method: DFT, PBE
State: optimized geometry

- space group = Cmce, No. 64
- energy (eV per atom) = -5.4772

a = 5.754 Å, b = 6.853 Å, c = 7.782 Å
α = 90.00°, β = 90.00°, γ = 114.82°
Fractional coordinates of all 12 atoms:
In 0.830 0.160 0.250
In 0.330 0.160 0.250
In 0.670 0.840 0.750
In 0.170 0.840 0.750
Nb 0.402 0.803 0.422
Nb 0.598 0.197 0.578
Nb 0.902 0.803 0.078
Nb 0.098 0.197 0.922
Sn 0.678 0.356 0.926
Sn 0.822 0.644 0.426
Sn 0.178 0.356 0.574
Sn 0.322 0.644 0.074